# 1
VASP calculation (GGA-PBEsol) on a relaxed structure of CsGe2Pd2.

Calculated values
- DOS at the Fermi energy (states/eV per atom) = 0.5325
- calculated formation energy (meV per atom) = -364.0
- size of the total moment (μB/f.u.) = 0.0
- final energy (eV per atom) = -4.912

abc: 4.083 4.083 7.871
angles: 105.03 105.03 90.00
Fractional positions:
Cs1 0.000 0.000 0.000
Ge1 0.345 0.345 0.690
Ge2 0.655 0.655 0.310
Pd1 0.250 0.750 0.500
Pd2 0.750 0.250 0.500

# 2
VASP calculation (GGA-PBEsol) on a relaxed structure of YMgCu.

Calculated values
- DOS at the Fermi energy (states/eV per atom) = 0.9924
- calculated formation energy (meV per atom) = -161.2
- size of the total moment (μB/f.u.) = 0.0
- ΔE to the lowest computed polymorph (eV per formula unit) = 0.11
- final energy (eV per atom) = -4.452

abc: 4.160 5.155 6.410
angles: 99.73 108.93 90.00
Fractional positions:
Y1 0.868 0.694 0.737
Y2 0.132 0.306 0.263
Mg1 0.584 0.780 0.169
Mg2 0.416 0.220 0.831
Cu1 0.771 0.146 0.543
Cu2 0.229 0.854 0.457